(1)
A plane-wave DFT calculation with GGA-PBE was carried out for a geometry-optimized Zn6SO6 structure.

Results
The total energy comes out at -4.2468 eV per atom. The calculation puts the total moment at 2.05 μB/f.u. Its crystal system is cubic. The calculation puts the uncorrected formation energy at -1.053 eV per atom.

Unit cell a=5.6962 b=5.6962 c=5.6962 alpha=90.00 beta=90.00 gamma=90.00
Fractional positions:
Zn 0.2464 0.5000 0.0000
Zn 0.7536 0.5000 0.0000
Zn 0.5000 0.0000 0.2464
Zn 0.5000 0.0000 0.7536
Zn 0.0000 0.2464 0.5000
Zn 0.0000 0.7536 0.5000
S 0.0000 0.0000 0.0000
O 0.2547 0.0000 0.5000
O 0.7453 0.0000 0.5000
O 0.0000 0.5000 0.2547
O 0.0000 0.5000 0.7453
O 0.5000 0.2547 0.0000
O 0.5000 0.7453 0.0000

(2)
A plane-wave DFT calculation with GGA-PBE was carried out for a geometry-optimized ErGa2CuNi4 structure.

Results
The total energy comes out at -5.0861 eV per atom. The calculation puts the total moment at 0.00 μB/f.u. Its crystal system is trigonal. The value obtained for the energy of formation is -2.851 eV per formula unit.

Unit cell a=4.0887 b=4.0887 c=8.1017 alpha=75.38 beta=75.38 gamma=60.00
Fractional positions:
Er 0.0000 0.0000 0.0000
Ga 0.7606 0.7606 0.7182
Ga 0.2394 0.2394 0.2818
Cu 0.5000 0.5000 0.5000
Ni 0.3999 0.3999 0.8003
Ni 0.8734 0.8734 0.3799
Ni 0.1266 0.1266 0.6201
Ni 0.6001 0.6001 0.1997

(3)
A plane-wave DFT calculation with GGA-PBE was carried out for a geometry-optimized AcPm6Ho3 structure.

Results
The total energy comes out at -4.4459 eV per atom. The calculation puts the total moment at 0.00 μB/f.u. Its energy above the lowest structure with this stoichiometry is 68.3 meV/atom. Its crystal system is orthorhombic. The value obtained for the energy of formation is 1.886 eV per formula unit.

Unit cell a=9.3439 b=8.7793 c=8.7793 alpha=98.65 beta=90.00 gamma=90.00
Fractional positions:
Ac 0.0379 0.2576 0.7424
Ac 0.5379 0.7424 0.2576
Pm 0.1526 0.8019 0.5806
Pm 0.6526 0.5806 0.8019
Pm 0.3011 0.5805 0.9053
Pm 0.8011 0.9053 0.5805
Pm 0.2356 0.9892 0.0108
Pm 0.4849 0.2315 0.7685
Pm 0.9849 0.7685 0.2315
Pm 0.7356 0.0108 0.9892
Pm 0.3011 0.0947 0.4195
Pm 0.8011 0.4195 0.0947
Pm 0.1526 0.4194 0.1981
Pm 0.6526 0.1981 0.4194
Ho 0.4673 0.8615 0.7029
Ho 0.9673 0.7029 0.8615
Ho 0.3850 0.4779 0.5221
Ho 0.8850 0.5221 0.4779
Ho 0.9673 0.1385 0.2971
Ho 0.4673 0.2971 0.1385